(i)
The following is a DFT calculation (PBE-GGA) of a geometry-optimized TaBiB4 structure.

abc: 3.0998 5.5613 7.7604
angles: 90.00 90.00 90.00
Space group Immm (No. 71)
One atom of each set of equivalent atoms:
Ta (0.0000, 0.0000, 0.0000) x2
Bi (0.0000, 0.0000, 0.5000) x2
B (0.0000, 0.3343, 0.2562) x8

Properties
density	10.753	g cm⁻³

(ii)
The following is a DFT calculation (PBE-GGA) of a geometry-optimized TaBiB4 structure.

abc: 3.0931 3.0931 8.7424
angles: 90.00 90.00 120.00
Space group P6/mmm (No. 191)
One atom of each set of equivalent atoms:
Ta (0.0000, 0.0000, 0.0000) x1
Bi (0.0000, 0.0000, 0.5000) x1
B (0.3333, 0.6667, 0.1877) x4

Properties
density	9.930	g cm⁻³

Structures ranked by computed energy, the most stable listed first: (ii), (i).

(i)
The following is a DFT calculation (PBE-GGA) of a geometry-optimized TaBiB structure.

abc: 6.3461 6.3461 6.3461
angles: 90.00 90.00 90.00
Space group F-43m (No. 216)
One atom of each set of equivalent atoms:
Ta (0.0000, 0.0000, 0.0000) x4
Bi (0.2500, 0.2500, 0.2500) x4
B (0.2500, 0.2500, 0.7500) x4

Properties
density	10.415	g cm⁻³

(ii)
The following is a DFT calculation (PBE-GGA) of a geometry-optimized TaBiB structure.

abc: 6.0344 6.0344 6.0344
angles: 90.00 90.00 90.00
Space group F-43m (No. 216)
One atom of each set of equivalent atoms:
Ta (0.0000, 0.0000, 0.0000) x4
Bi (0.0000, 0.0000, 0.5000) x4
B (0.2500, 0.2500, 0.7500) x4

Properties
density	12.114	g cm⁻³

Structures ranked by computed energy, the most stable listed first: (ii), (i).

(i)
The following is a DFT calculation (PBE-GGA) of a geometry-optimized TmBiB4 structure.

abc: 3.2623 3.2623 8.0316
angles: 90.00 90.00 120.00
Space group P6/mmm (No. 191)
One atom of each set of equivalent atoms:
Tm (0.0000, 0.0000, 0.0000) x1
Bi (0.0000, 0.0000, 0.5000) x1
B (0.3333, 0.6667, 0.2265) x4

Properties
density	9.448	g cm⁻³

(ii)
The following is a DFT calculation (PBE-GGA) of a geometry-optimized TmBiB4 structure.

abc: 3.2019 5.3573 8.6439
angles: 90.00 90.00 90.00
Space group Immm (No. 71)
One atom of each set of equivalent atoms:
Tm (0.0000, 0.0000, 0.0000) x2
Bi (0.0000, 0.0000, 0.5000) x2
B (0.0000, 0.3260, 0.2606) x8

Properties
density	9.433	g cm⁻³

Structures ranked by computed energy, the most stable listed first: (i), (ii).

(i)
The following is a DFT calculation (PBE-GGA) of a geometry-optimized BiBW structure.

abc: 5.9071 5.9071 5.9071
angles: 90.00 90.00 90.00
Space group F-43m (No. 216)
One atom of each set of equivalent atoms:
Bi (0.0000, 0.0000, 0.0000) x4
B (0.2500, 0.2500, 0.2500) x4
W (0.0000, 0.0000, 0.5000) x4

Properties
density	13.007	g cm⁻³

(ii)
The following is a DFT calculation (PBE-GGA) of a geometry-optimized BiBW structure.

abc: 6.2238 6.2238 6.2238
angles: 90.00 90.00 90.00
Space group F-43m (No. 216)
One atom of each set of equivalent atoms:
Bi (0.0000, 0.0000, 0.0000) x4
B (0.0000, 0.0000, 0.5000) x4
W (0.2500, 0.2500, 0.7500) x4

Properties
density	11.120	g cm⁻³

Structures ranked by computed energy, the most stable listed first: (i), (ii).

(i)
The following is a DFT calculation (PBE-GGA) of a geometry-optimized ZrBiB4 structure.

abc: 3.1565 5.5355 8.0759
angles: 90.00 90.00 90.00
Space group Immm (No. 71)
One atom of each set of equivalent atoms:
Zr (0.0000, 0.0000, 0.0000) x2
Bi (0.0000, 0.0000, 0.5000) x2
B (0.0000, 0.3328, 0.2543) x8

Properties
density	8.083	g cm⁻³

(ii)
The following is a DFT calculation (PBE-GGA) of a geometry-optimized ZrBiB4 structure.

abc: 3.1976 3.1976 8.1706
angles: 90.00 90.00 120.00
Space group P6/mmm (No. 191)
One atom of each set of equivalent atoms:
Zr (0.0000, 0.0000, 0.0000) x1
Bi (0.0000, 0.0000, 0.5000) x1
B (0.3333, 0.6667, 0.2116) x4

Properties
density	7.883	g cm⁻³

Structures ranked by computed energy, the most stable listed first: (ii), (i).

(i)
The following is a DFT calculation (PBE-GGA) of a geometry-optimized Ho2Tm2B3C4 structure.

abc: 3.4697 3.5667 11.8430
angles: 92.71 97.00 90.12
Space group P-1 (No. 2)
One atom of each set of equivalent atoms:
Ho (0.1957, 0.4775, 0.3500) x2
Tm (0.3948, 0.0519, 0.8597) x2
B (0.0000, 0.5000, 0.0000) x1
B (0.2468, 0.0063, 0.5411) x2
C (0.0993, 0.4407, 0.1221) x2
C (0.3108, 0.0259, 0.6689) x2

Properties
density	8.551	g cm⁻³

(ii)
The following is a DFT calculation (PBE-GGA) of a geometry-optimized Ho2Tm2B3C4 structure.

abc: 3.4685 3.5621 11.8508
angles: 92.63 97.03 90.13
Space group P-1 (No. 2)
One atom of each set of equivalent atoms:
Ho (0.1048, 0.4484, 0.1398) x2
Tm (0.3043, 0.0224, 0.6499) x2
B (0.2534, 0.4937, 0.4591) x2
B (0.5000, 0.0000, 0.0000) x1
C (0.1893, 0.4741, 0.3316) x2
C (0.4009, 0.0590, 0.8779) x2

Properties
density	8.559	g cm⁻³

Structures ranked by computed energy, the most stable listed first: (i), (ii).

(i)
The following is a DFT calculation (PBE-GGA) of a geometry-optimized Tm2Lu2B3C4 structure.

abc: 3.4245 3.5147 11.7841
angles: 92.63 96.13 90.17
Space group P-1 (No. 2)
One atom of each set of equivalent atoms:
Tm (0.1148, 0.4468, 0.1405) x2
Lu (0.3050, 0.0246, 0.6501) x2
B (0.2345, 0.4930, 0.4599) x2
B (0.5000, 0.0000, 0.0000) x1
C (0.1878, 0.4722, 0.3314) x2
C (0.3875, 0.0629, 0.8787) x2

Properties
density	9.056	g cm⁻³

(ii)
The following is a DFT calculation (PBE-GGA) of a geometry-optimized Tm2Lu2B3C4 structure.

abc: 3.4264 3.5189 11.7673
angles: 92.71 96.09 90.15
Space group P-1 (No. 2)
One atom of each set of equivalent atoms:
Tm (0.1950, 0.4754, 0.3499) x2
Lu (0.3848, 0.0534, 0.8591) x2
B (0.0000, 0.5000, 0.0000) x1
B (0.2656, 0.0070, 0.5404) x2
C (0.1129, 0.4367, 0.1214) x2
C (0.3124, 0.0278, 0.6691) x2

Properties
density	9.053	g cm⁻³

Structures ranked by computed energy, the most stable listed first: (ii), (i).

(i)
The following is a DFT calculation (PBE-GGA) of a geometry-optimized BW3C structure.

abc: 5.2583 5.8379 9.3049
angles: 90.00 123.87 90.00
Space group P2_1/c (No. 14)
One atom of each set of equivalent atoms:
B (0.1881, 0.1207, 0.2468) x4
W (0.0957, 0.1810, 0.9326) x4
W (0.2681, 0.6800, 0.9294) x4
W (0.4209, 0.0375, 0.7492) x4
C (0.0000, 0.0000, 0.5000) x2
C (0.5000, 0.0000, 0.0000) x2

Properties
density	16.085	g cm⁻³

(ii)
The following is a DFT calculation (PBE-GGA) of a geometry-optimized BW3C structure.

abc: 8.9450 3.0585 17.6082
angles: 90.00 100.84 90.00
Space group P2_1/m (No. 11)
One atom of each set of equivalent atoms:
B (0.0636, 0.2500, 0.3608) x2
B (0.1980, 0.2500, 0.0410) x2
B (0.2984, 0.7500, 0.7506) x2
B (0.3166, 0.2500, 0.2420) x2
W (0.0172, 0.2500, 0.2245) x2
W (0.0572, 0.7500, 0.9439) x2
W (0.0978, 0.7500, 0.4616) x2
W (0.1366, 0.2500, 0.6757) x2
W (0.2185, 0.7500, 0.1453) x2
W (0.2350, 0.7500, 0.3260) x2
W (0.2449, 0.2500, 0.8412) x2
W (0.3372, 0.7500, 0.5959) x2
W (0.3535, 0.7500, 0.9925) x2
W (0.3756, 0.2500, 0.4579) x2
W (0.4720, 0.2500, 0.1356) x2
W (0.4805, 0.2500, 0.7281) x2
C (0.0196, 0.2500, 0.8601) x2
C (0.1546, 0.2500, 0.5529) x2
C (0.4380, 0.2500, 0.9275) x2
C (0.4722, 0.7500, 0.3895) x2

Properties
density	16.126	g cm⁻³

Structures ranked by computed energy, the most stable listed first: (i), (ii).

(i)
The following is a DFT calculation (PBE-GGA) of a geometry-optimized BW3C structure.

abc: 5.8463 7.7156 5.2556
angles: 90.00 90.00 90.00
Space group Pnma (No. 62)
One atom of each set of equivalent atoms:
B (0.1212, 0.2500, 0.0582) x4
W (0.0374, 0.7500, 0.3286) x4
W (0.1804, 0.5687, 0.8388) x8
C (0.0000, 0.0000, 0.5000) x4

Properties
density	16.092	g cm⁻³

(ii)
The following is a DFT calculation (PBE-GGA) of a geometry-optimized BW3C structure.

abc: 3.1068 10.0062 7.6185
angles: 90.00 90.00 90.00
Space group Cmcm (No. 63)
One atom of each set of equivalent atoms:
B (0.0000, 0.2471, 0.2500) x4
W (0.0000, 0.1426, 0.5658) x8
W (0.0000, 0.4108, 0.7500) x4
C (0.0000, 0.5000, 0.0000) x4

Properties
density	16.107	g cm⁻³

Structures ranked by computed energy, the most stable listed first: (ii), (i).

(i)
The following is a DFT calculation (PBE-GGA) of a geometry-optimized BW4C2 structure.

abc: 5.5047 9.8544 3.0254
angles: 90.00 90.00 90.00
Space group Pbam (No. 55)
One atom of each set of equivalent atoms:
B (0.0000, 0.0000, 0.0000) x2
W (0.1094, 0.2087, 0.0000) x4
W (0.2376, 0.4563, 0.5000) x4
C (0.0972, 0.6636, 0.5000) x4

Properties
density	15.586	g cm⁻³

(ii)
The following is a DFT calculation (PBE-GGA) of a geometry-optimized BW4C2 structure.

abc: 10.0289 3.0373 10.7018
angles: 90.00 90.00 90.00
Space group Pnma (No. 62)
One atom of each set of equivalent atoms:
B (0.2484, 0.2500, 0.1706) x4
W (0.0574, 0.7500, 0.7885) x4
W (0.1061, 0.2500, 0.5703) x4
W (0.1198, 0.7500, 0.0584) x4
W (0.1882, 0.7500, 0.3346) x4
C (0.0431, 0.2500, 0.3838) x4
C (0.1143, 0.2500, 0.9164) x4

Properties
density	15.693	g cm⁻³

Structures ranked by computed energy, the most stable listed first: (ii), (i).

(i)
The following is a DFT calculation (PBE-GGA) of a geometry-optimized CdCoNiB structure.

abc: 5.7298 5.7298 5.7298
angles: 90.00 90.00 90.00
Space group F-43m (No. 216)
One atom of each set of equivalent atoms:
Cd (0.0000, 0.0000, 0.0000) x4
Co (0.2500, 0.2500, 0.7500) x4
Ni (0.2500, 0.2500, 0.2500) x4
B (0.0000, 0.0000, 0.5000) x4

Properties
density	8.504	g cm⁻³

(ii)
The following is a DFT calculation (PBE-GGA) of a geometry-optimized CdCoNiB structure.

abc: 5.7492 5.7492 5.7492
angles: 90.00 90.00 90.00
Space group F-43m (No. 216)
One atom of each set of equivalent atoms:
Cd (0.0000, 0.0000, 0.0000) x4
Co (0.0000, 0.0000, 0.5000) x4
Ni (0.2500, 0.2500, 0.7500) x4
B (0.2500, 0.2500, 0.2500) x4

Properties
density	8.419	g cm⁻³

Structures ranked by computed energy, the most stable listed first: (i), (ii).